NaYI2 | GGA-PBE | relaxed

Geometry as extended XYZ:
```
8
Lattice="8.4120 0.0000 0.0000 0.0000 8.4120 0.0000 4.2060 4.2060 4.1947" Properties=species:S:1:pos:R:3 pbc="T T T"
I 6.3543 2.1030 1.0487
I 2.0578 6.3090 1.0487
I 6.3090 6.2638 3.1461
I 10.5150 10.5603 3.1461
Y 0.0000 0.0000 0.0000
Y 8.4120 4.2060 2.0974
Na 4.2060 4.2060 0.0000
Na 4.2060 8.4120 2.0974
```

final energy	-13.3	eV per formula unit
energy relative to the elements, uncorrected	-0.604	eV/atom

RbMgAu | GGA-PBE | relaxed

Geometry as extended XYZ:
```
3
Lattice="-2.8124 2.2183 -1.2621 -1.3564 -2.8900 -2.0570 -1.6418 -1.5127 6.7136" Properties=species:S:1:pos:R:3 pbc="T T T"
Mg -2.0356 -1.0099 2.7610
Au -3.7141 -1.1443 0.5509
Rb -0.0608 -0.0302 0.0825
```

final energy	-6.5	eV per formula unit

K3Ge2Pt2 | GGA-PBE | relaxed

Geometry as extended XYZ:
```
28
Lattice="6.9079 0.0000 0.0000 0.0000 8.1795 0.0000 0.0000 0.0000 13.5145" Properties=species:S:1:pos:R:3 pbc="T T T"
K 0.7954 5.0438 1.3614
K 6.1125 3.1357 8.1187
K 6.1125 0.9541 5.3958
K 0.7954 7.2254 12.1530
K 6.1125 3.1357 12.1530
K 0.7954 5.0438 5.3958
K 0.7954 7.2254 8.1187
K 6.1125 0.9541 1.3614
K 2.2478 2.6152 3.3786
K 4.6600 5.5643 10.1359
K 4.6600 6.7050 3.3786
K 2.2478 1.4745 10.1359
Ge 3.1519 2.0449 0.0000
Ge 3.7560 6.1346 6.7572
Ge 3.7560 6.1346 0.0000
Ge 3.1519 2.0449 6.7572
Ge 5.3630 3.5952 3.3786
Ge 1.5449 4.5843 10.1359
Ge 1.5449 7.6849 3.3786
Ge 5.3630 0.4946 10.1359
Pt 4.2885 3.9826 1.2212
Pt 2.6194 4.1969 7.9784
Pt 2.6194 8.0723 5.5361
Pt 4.2885 0.1072 12.2933
Pt 2.6194 4.1969 12.2933
Pt 4.2885 3.9826 5.5361
Pt 4.2885 0.1072 7.9784
Pt 2.6194 8.0723 1.2212
```

final energy	-27.1	eV per formula unit